(w)
# As2PbF2 PBE relaxed
# Magnetization in μB per cell: 0.000
# Theoretical density in g cm⁻³: 6.71
data_As2PbF2
_cell_length_a 8.193
_cell_length_b 8.193
_cell_length_c 2.915
_cell_angle_alpha 90.00
_cell_angle_beta 90.00
_cell_angle_gamma 90.00
_space_group_name_H-M_alt 'P 4/m b m'
_space_group_IT_number 127
_space_group_name_Hall '-P 4 2ab'
loop_
_atom_site_label
_atom_site_type_symbol
_atom_site_fract_x
_atom_site_fract_y
_atom_site_fract_z
As1 As 0.224 0.276 0.000
Pb1 Pb 0.000 0.000 0.500
F1 F 0.129 0.629 0.500


(x)
# As2PbF2 PBE relaxed
# Magnetization in μB per cell: 0.000
# Theoretical density in g cm⁻³: 5.80
data_As2PbF2
_cell_length_a 3.496
_cell_length_b 3.496
_cell_length_c 18.519
_cell_angle_alpha 90.00
_cell_angle_beta 90.00
_cell_angle_gamma 90.00
_space_group_name_H-M_alt 'I 4/m m m'
_space_group_IT_number 139
_space_group_name_Hall '-I 4 2'
loop_
_atom_site_label
_atom_site_type_symbol
_atom_site_fract_x
_atom_site_fract_y
_atom_site_fract_z
As1 As 0.000 0.500 0.250
Pb1 Pb 0.000 0.000 0.000
F1 F 0.000 0.000 0.434


(x) is the most stable structure; the next one sits 0.432 eV/atom above it.


(w)
# AsPtPbF2 PBE relaxed
# Magnetization in μB per cell: 0.000
# Theoretical density in g cm⁻³: 7.92
data_AsPtPbF2
_cell_length_a 4.261
_cell_length_b 4.261
_cell_length_c 5.945
_cell_angle_alpha 90.00
_cell_angle_beta 90.00
_cell_angle_gamma 90.00
_space_group_name_H-M_alt 'P 4/m m m'
_space_group_IT_number 123
_space_group_name_Hall '-P 4 2'
loop_
_atom_site_label
_atom_site_type_symbol
_atom_site_fract_x
_atom_site_fract_y
_atom_site_fract_z
As1 As 0.000 0.000 0.000
Pt1 Pt 0.500 0.500 0.000
Pb1 Pb 0.000 0.000 0.500
F1 F 0.000 0.500 0.500


(x)
# AsPtPbF2 PBE relaxed
# Magnetization in μB per cell: 0.000
# Theoretical density in g cm⁻³: 8.56
data_AsPtPbF2
_cell_length_a 3.999
_cell_length_b 3.999
_cell_length_c 6.249
_cell_angle_alpha 90.00
_cell_angle_beta 90.00
_cell_angle_gamma 90.00
_space_group_name_H-M_alt 'P 4/m m m'
_space_group_IT_number 123
_space_group_name_Hall '-P 4 2'
loop_
_atom_site_label
_atom_site_type_symbol
_atom_site_fract_x
_atom_site_fract_y
_atom_site_fract_z
As1 As 0.000 0.000 0.000
Pt1 Pt 0.500 0.500 0.500
Pb1 Pb 0.000 0.000 0.500
F1 F 0.000 0.500 0.000


(x) is the most stable structure; the next one sits 0.227 eV/atom above it.


(w)
# AsPbSe2F PBE relaxed
# Magnetization in μB per cell: 1.044
# Theoretical density in g cm⁻³: 4.84
data_AsPbSe2F
_cell_length_a 5.346
_cell_length_b 5.346
_cell_length_c 5.507
_cell_angle_alpha 90.00
_cell_angle_beta 90.00
_cell_angle_gamma 90.00
_space_group_name_H-M_alt 'P 4/m m m'
_space_group_IT_number 123
_space_group_name_Hall '-P 4 2'
loop_
_atom_site_label
_atom_site_type_symbol
_atom_site_fract_x
_atom_site_fract_y
_atom_site_fract_z
As1 As 0.000 0.000 0.000
Pb1 Pb 0.000 0.000 0.500
Se1 Se 0.000 0.500 0.500
F1 F 0.500 0.500 0.000


(x)
# AsPbSe2F PBE relaxed
# Magnetization in μB per cell: 0.000
# Theoretical density in g cm⁻³: 5.65
data_AsPbSe2F
_cell_length_a 5.724
_cell_length_b 5.724
_cell_length_c 4.120
_cell_angle_alpha 90.00
_cell_angle_beta 90.00
_cell_angle_gamma 90.00
_space_group_name_H-M_alt 'P 4/m m m'
_space_group_IT_number 123
_space_group_name_Hall '-P 4 2'
loop_
_atom_site_label
_atom_site_type_symbol
_atom_site_fract_x
_atom_site_fract_y
_atom_site_fract_z
As1 As 0.000 0.000 0.000
Pb1 Pb 0.500 0.500 0.000
Se1 Se 0.000 0.500 0.500
F1 F 0.000 0.000 0.500


(x) is the most stable structure; the next one sits 0.673 eV/atom above it.


(w)
# As3PdF PBE relaxed
# Magnetization in μB per cell: 0.000
# Theoretical density in g cm⁻³: 6.36
data_As3PdF
_cell_length_a 4.504
_cell_length_b 4.504
_cell_length_c 4.504
_cell_angle_alpha 90.00
_cell_angle_beta 90.00
_cell_angle_gamma 90.00
_space_group_name_H-M_alt 'P m -3 m'
_space_group_IT_number 221
_space_group_name_Hall '-P 4 2 3'
loop_
_atom_site_label
_atom_site_type_symbol
_atom_site_fract_x
_atom_site_fract_y
_atom_site_fract_z
As1 As 0.000 0.000 0.500
Pd1 Pd 0.500 0.500 0.500
F1 F 0.000 0.000 0.000


(x)
# As3PdF PBE relaxed
# Magnetization in μB per cell: 0.821
# Theoretical density in g cm⁻³: 5.02
data_As3PdF
_cell_length_a 4.876
_cell_length_b 4.876
_cell_length_c 4.876
_cell_angle_alpha 90.00
_cell_angle_beta 90.00
_cell_angle_gamma 90.00
_space_group_name_H-M_alt 'P m -3 m'
_space_group_IT_number 221
_space_group_name_Hall '-P 4 2 3'
loop_
_atom_site_label
_atom_site_type_symbol
_atom_site_fract_x
_atom_site_fract_y
_atom_site_fract_z
As1 As 0.000 0.000 0.500
Pd1 Pd 0.000 0.000 0.000
F1 F 0.500 0.500 0.500


(w) is the most stable structure; the next one sits 0.115 eV/atom above it.


(w)
# AsPd3F PBE relaxed
# Magnetization in μB per cell: 0.000
# Theoretical density in g cm⁻³: 8.23
data_AsPd3F
_cell_length_a 4.368
_cell_length_b 4.368
_cell_length_c 4.368
_cell_angle_alpha 90.00
_cell_angle_beta 90.00
_cell_angle_gamma 90.00
_space_group_name_H-M_alt 'P m -3 m'
_space_group_IT_number 221
_space_group_name_Hall '-P 4 2 3'
loop_
_atom_site_label
_atom_site_type_symbol
_atom_site_fract_x
_atom_site_fract_y
_atom_site_fract_z
As1 As 0.000 0.000 0.000
Pd1 Pd 0.000 0.500 0.500
F1 F 0.500 0.500 0.500


(x)
# AsPd3F PBE relaxed
# Magnetization in μB per cell: 0.000
# Theoretical density in g cm⁻³: 6.77
data_AsPd3F
_cell_length_a 4.662
_cell_length_b 4.662
_cell_length_c 4.662
_cell_angle_alpha 90.00
_cell_angle_beta 90.00
_cell_angle_gamma 90.00
_space_group_name_H-M_alt 'P m -3 m'
_space_group_IT_number 221
_space_group_name_Hall '-P 4 2 3'
loop_
_atom_site_label
_atom_site_type_symbol
_atom_site_fract_x
_atom_site_fract_y
_atom_site_fract_z
As1 As 0.000 0.000 0.000
Pd1 Pd 0.000 0.000 0.500
F1 F 0.500 0.500 0.500


(x) is the most stable structure; the next one sits 0.124 eV/atom above it.


(w)
# AsPd2F PBE relaxed
# Magnetization in μB per cell: 0.000
# Theoretical density in g cm⁻³: 9.04
data_AsPd2F
_cell_length_a 6.086
_cell_length_b 6.086
_cell_length_c 6.086
_cell_angle_alpha 90.00
_cell_angle_beta 90.00
_cell_angle_gamma 90.00
_space_group_name_H-M_alt 'F m -3 m'
_space_group_IT_number 225
_space_group_name_Hall '-F 4 2 3'
loop_
_atom_site_label
_atom_site_type_symbol
_atom_site_fract_x
_atom_site_fract_y
_atom_site_fract_z
As1 As 0.000 0.000 0.000
Pd1 Pd 0.250 0.250 0.250
F1 F 0.000 0.000 0.500


(x)
# AsPd2F PBE relaxed
# Magnetization in μB per cell: 0.000
# Theoretical density in g cm⁻³: 8.07
data_AsPd2F
_cell_length_a 6.423
_cell_length_b 6.423
_cell_length_c 6.123
_cell_angle_alpha 90.00
_cell_angle_beta 90.00
_cell_angle_gamma 90.00
_space_group_name_H-M_alt 'I -4 2 d'
_space_group_IT_number 122
_space_group_name_Hall 'I -4 2bw'
loop_
_atom_site_label
_atom_site_type_symbol
_atom_site_fract_x
_atom_site_fract_y
_atom_site_fract_z
As1 As 0.000 0.000 0.000
Pd1 Pd 0.249 0.250 0.625
F1 F 0.000 0.000 0.500


(w) is the most stable structure; the next one sits 0.105 eV/atom above it.